The following is a DFT calculation (PBE) of a relaxed structure of LiPuAg2Se4.

a = 4.173 Å, b = 7.028 Å, c = 6.522 Å
α = 110.16°, β = 90.00°, γ = 90.00°
Each line ends with the local moment (μB).
Fractional positions:
Ag  0.500  0.000  0.500  -0.12
Ag  0.000  0.500  0.500  -0.09
Se  0.000  0.255  0.759  -0.23
Pu  0.000  0.000  0.000  4.61
Se  0.000  0.745  0.241  -0.23
Se  0.500  0.754  0.752  -0.20
Se  0.500  0.246  0.248  -0.20
Li  0.500  0.500  0.000  -0.01

Formation energy without anion corrections, kJ/mol of formula units: -515
Theoretical density, g/cm³: 7.2
Symmetry: No. 10



The following is a DFT calculation (PBE) of a relaxed structure of BiSbRu3.

a = 4.852 Å, b = 4.852 Å, c = 4.852 Å
α = 90.00°, β = 90.00°, γ = 90.00°
Each line ends with the local moment (μB).
Fractional positions:
Sb  0.000  0.000  0.000  -0.02
Ru  0.500  0.000  0.000  0.30
Ru  0.000  0.000  0.500  0.49
Bi  0.500  0.500  0.500  -0.04
Ru  0.000  0.500  0.000  0.40

Formation energy without anion corrections, kJ/mol of formula units: 626
Theoretical density, g/cm³: 9.2
Energy above the most stable polymorph in this dataset, meV/atom: 0.0
Symmetry: No. 221



The following is a DFT calculation (PBE) of a relaxed structure of BiCl2.

a = 4.916 Å, b = 4.917 Å, c = 6.122 Å
α = 75.31°, β = 91.18°, γ = 48.77°
Fractional positions:
Cl  0.759  0.485  0.264
Cl  0.252  0.517  0.724
Bi  0.505  0.001  0.494

Formation energy without anion corrections, kJ/mol of formula units: -180
Theoretical density, g/cm³: 4.5
Symmetry: No. 12



The following is a DFT calculation (PBE) of a relaxed structure of Ta2HgPtN.

a = 5.044 Å, b = 4.871 Å, c = 5.044 Å
α = 90.00°, β = 90.00°, γ = 90.00°
Fractional positions:
N  0.500  0.500  0.500
Hg  0.000  0.000  0.000
Ta  0.000  0.000  0.500
Ta  0.500  0.000  0.000
Pt  0.000  0.500  0.000

Formation energy without anion corrections, kJ/mol of formula units: 1488
Theoretical density, g/cm³: 10.3
Symmetry: No. 123



The following is a DFT calculation (PBE) of a relaxed structure of Sr2PCl.

a = 4.416 Å, b = 4.416 Å, c = 6.030 Å
α = 90.00°, β = 90.00°, γ = 90.00°
Fractional positions:
P  0.500  0.500  0.875
Cl  0.000  0.000  0.375
Sr  0.500  0.500  0.375
Sr  0.000  0.000  0.875

Formation energy without anion corrections, kJ/mol of formula units: -618
Theoretical density, g/cm³: 3.4
Symmetry: No. 123



The following is a DFT calculation (PBE) of a relaxed structure of CeNbNiS3.

a = 3.666 Å, b = 7.536 Å, c = 8.102 Å
α = 105.63°, β = 90.00°, γ = 90.00°
Each line ends with the local moment (μB).
Fractional positions:
S  0.750  0.227  0.528  -0.01
S  0.250  0.773  0.472  -0.01
S  0.750  0.440  0.188  -0.01
S  0.250  0.110  0.878  -0.01
Ni  0.250  0.092  0.601  -0.06
S  0.250  0.560  0.812  -0.01
S  0.750  0.890  0.122  -0.01
Ce  0.750  0.816  0.749  0.37
Nb  0.250  0.640  0.131  -0.03
Ni  0.750  0.908  0.399  -0.06
Nb  0.750  0.360  0.869  -0.03
Ce  0.250  0.184  0.251  0.37

Formation energy without anion corrections, kJ/mol of formula units: -702
Theoretical density, g/cm³: 6.0
Symmetry: No. 11



The following is a DFT calculation (PBE) of a relaxed structure of CaAc8Rh6.

a = 7.470 Å, b = 7.470 Å, c = 10.969 Å
α = 70.09°, β = 70.09°, γ = 60.00°
Fractional positions:
Ca  0.000  0.000  0.000
Rh  0.606  0.273  0.181
Rh  0.727  0.060  0.819
Ac  0.891  0.225  0.326
Ac  0.558  0.891  0.326
Ac  0.775  0.442  0.674
Ac  0.442  0.109  0.674
Ac  0.667  0.667  0.000
Ac  0.333  0.333  0.000
Ac  0.225  0.558  0.326
Rh  0.940  0.606  0.181
Rh  0.394  0.727  0.819
Rh  0.273  0.940  0.181
Ac  0.109  0.775  0.674
Rh  0.060  0.394  0.819

Theoretical density, g/cm³: 8.4
Symmetry: No. 148
Energy relative to the elements, eV per atom: -0.549



The following is a DFT calculation (PBE) of a relaxed structure of MgAlBr.

a = 4.952 Å, b = 4.952 Å, c = 3.455 Å
α = 90.00°, β = 90.00°, γ = 120.00°
Fractional positions:
Mg  0.333  0.667  0.510
Br  0.667  0.333  0.487
Al  0.000  0.000  0.003

Formation energy without anion corrections, kJ/mol of formula units: -1
Theoretical density, g/cm³: 3.0
Energy above the most stable polymorph in this dataset, meV/atom: 257.2
Symmetry: No. 156